(1)
VASP calculation (PBE) on an optimized crystal structure of Ni3Te.

Calculated values
**Raw formation energy**: 0.19 eV/f.u.
**Uncorrected energy**: -5.08 eV per atom
**Calculated volume**: 53.2 Å³/f.u.

```
Ni3Te
1.0
-1.157 3.927 -3.423
-0.788 0.702 5.231
4.014 1.531 0.399
Ni Te
6 2
direct
0.161 0.839 0.750 Ni
0.839 0.161 0.250 Ni
0.678 0.839 0.750 Ni
0.322 0.161 0.250 Ni
0.839 0.678 0.250 Ni
0.161 0.322 0.750 Ni
0.667 0.333 0.750 Te
0.333 0.667 0.250 Te
```

---

(2)
VASP calculation (PBE) on an optimized crystal structure of NiTe3.

Calculated values
**Raw formation energy**: 0.58 eV/f.u.
**Uncorrected energy**: -3.66 eV per atom
**Calculated volume**: 102.4 Å³/f.u.

```
NiTe3
1.0
-1.575 2.797 -0.401
-2.249 -2.172 0.828
1.461 2.232 9.818
Ni Te
1 3
direct
0.000 0.000 0.000 Ni
0.500 0.500 0.833 Te
0.000 0.000 0.500 Te
0.500 0.500 0.167 Te
```

---

(3)
VASP calculation (PBE) on an optimized crystal structure of NiTe.

Calculated values
**Raw formation energy**: -0.31 eV/f.u.
**Uncorrected energy**: -4.62 eV per atom
**Calculated volume**: 40.0 Å³/f.u.

```
NiTe
1.0
-3.221 -10.670 -2.564
2.896 -0.291 -2.429
3.211 -1.945 4.061
Ni Te
6 6
direct
0.329 0.000 0.223 Ni
0.671 0.000 0.223 Ni
0.829 0.500 0.723 Ni
0.171 0.500 0.723 Ni
0.000 0.500 0.436 Ni
0.500 0.000 0.936 Ni
0.320 0.000 0.692 Te
0.680 0.000 0.692 Te
0.820 0.500 0.192 Te
0.180 0.500 0.192 Te
0.000 0.000 0.735 Te
0.500 0.500 0.235 Te
```

---

(4)
VASP calculation (PBE) on an optimized crystal structure of NiTe2.

Calculated values
**Raw formation energy**: 0.66 eV/f.u.
**Uncorrected energy**: -3.80 eV per atom
**Calculated volume**: 65.7 Å³/f.u.

```
NiTe2
1.0
-3.133 3.133 3.348
3.133 -3.133 3.348
3.133 3.133 -3.348
Ni Te
2 4
direct
0.250 0.250 0.000 Ni
0.750 0.750 0.000 Ni
0.328 0.828 0.156 Te
0.672 0.172 0.844 Te
0.172 0.328 0.500 Te
0.828 0.672 0.500 Te
```

---

(5)
VASP calculation (PBE) on an optimized crystal structure of Ni3Te2.

Calculated values
**Raw formation energy**: 0.42 eV/f.u.
**Uncorrected energy**: -4.64 eV per atom
**Calculated volume**: 82.6 Å³/f.u.

```
Ni3Te2
1.0
-7.322 1.590 3.518
-5.237 4.187 -1.267
-4.356 -3.826 0.614
Ni Te
6 4
direct
0.802 0.463 0.293 Ni
0.442 0.293 0.463 Ni
0.787 0.448 0.808 Ni
0.957 0.808 0.448 Ni
0.997 0.003 0.003 Ni
0.247 0.253 0.253 Ni
0.279 0.830 0.410 Te
0.480 0.410 0.830 Te
0.420 0.971 0.770 Te
0.840 0.770 0.971 Te
```

---

(6)
VASP calculation (PBE) on an optimized crystal structure of Ni2Te3.

Calculated values
**Raw formation energy**: -0.89 eV/f.u.
**Uncorrected energy**: -4.38 eV per atom
**Calculated volume**: 107.4 Å³/f.u.

```
Ni2Te3
1.0
6.824 0.000 0.000
3.412 5.907 0.149
3.412 1.835 5.377
Ni Te
4 6
direct
0.838 0.838 0.985 Ni
0.662 0.662 0.515 Ni
0.338 0.338 0.485 Ni
0.162 0.162 0.015 Ni
0.250 0.577 0.750 Te
0.577 0.923 0.750 Te
0.923 0.250 0.750 Te
0.077 0.750 0.250 Te
0.423 0.077 0.250 Te
0.750 0.423 0.250 Te
```